# SrGe2PdAu

A geometry-optimized SrGe2PdAu structure (PBE, Alexandria via LeMat-Bulk).

Calculated values
For the density of states at the Fermi level, the calculation gives 2.3 states/eV/f.u. The formation energy is -57.4 kJ/mol of atoms. The calculation puts the total moment at 0.000 μB/atom. The total energy is -44.719 eV/cell.

```
data_SrGe2PdAu
_chemical_formula_sum 'Sr2 Ge4 Pd2 Au2'
_cell_length_a 4.5312
_cell_length_b 4.5312
_cell_length_c 10.3335
_cell_angle_alpha 90.00
_cell_angle_beta 90.00
_cell_angle_gamma 90.00
_symmetry_space_group_name_H-M 'I -4 m 2'
_symmetry_Int_Tables_number 119
_symmetry_space_group_name_Hall 'I -4 -2'
loop_
_atom_site_label
_atom_site_fract_x
_atom_site_fract_y
_atom_site_fract_z
Sr1 0.0000 0.0000 0.0000
Ge1 0.0000 0.0000 0.3745
Pd1 0.0000 0.5000 0.2500
Au1 0.0000 0.5000 0.7500
```